# Dy8Sn2Sb

An optimized crystal structure of Dy8Sn2Sb (PBE, the Alexandria database).

Properties
The space-group type is C2/m. The calculation puts the uncorrected formation energy at -4.793 eV/f.u. The calculation puts the magnetic moment at 0.0 μB/f.u.

abc: 4.9532 6.9050 10.1903
angles: 102.26 104.07 90.00
Fractional positions:
Dy 0.3416 0.9901 0.6831
Dy 0.2187 0.3329 0.4374
Dy 0.6584 0.0099 0.3169
Dy 0.5940 0.4814 0.1879
Dy 0.4060 0.5186 0.8121
Dy 0.0254 0.7630 0.0507
Dy 0.9746 0.2370 0.9493
Dy 0.7813 0.6671 0.5626
Sb 0.5000 0.0000 0.0000
Sn 0.1827 0.7635 0.3654
Sn 0.8173 0.2365 0.6346